[1]
Density functional theory data (PBE) for a relaxed Sm2LuAg crystal.

**Symmetry**: R-3m
**Energy of formation**: -0.006 eV per atom
**Total moment**: 0.00 μB/f.u.

a = 3.5696 Å, b = 3.5696 Å, c = 10.7678 Å
α = 80.46°, β = 80.46°, γ = 60.00°
Closest atoms and distances in Å follow each position.
Element x y z (fractional)
Ag1 0.0000 0.0000 0.0000  6 Sm 3.19
Sm1 0.2567 0.2567 0.2300  3 Ag 3.19, 3 Lu 3.52
Sm2 0.7433 0.7433 0.7700  3 Ag 3.19, 3 Lu 3.52
Lu1 0.5000 0.5000 0.5000  6 Sm 3.52, 6 Lu 3.57

=====

[2]
Density functional theory data (PBE) for a relaxed Sm2LuAg crystal.

**Symmetry**: P4/mmm
**Energy of formation**: -0.100 eV per atom
**Total moment**: 0.00 μB/f.u.

a = 3.6299 Å, b = 3.6299 Å, c = 8.7577 Å
α = 90.00°, β = 90.00°, γ = 90.00°
Closest atoms and distances in Å follow each position.
Element x y z (fractional)
Lu1 0.5000 0.5000 0.5000  8 Sm 3.54, 4 Lu 3.63
Sm1 0.0000 0.0000 0.2218  4 Ag 3.22, 4 Lu 3.54
Sm2 0.0000 0.0000 0.7782  4 Ag 3.22, 4 Lu 3.54
Ag1 0.5000 0.5000 0.0000  8 Sm 3.22

=====

[3]
Density functional theory data (PBE) for a relaxed Sm2LuAg crystal.

**Symmetry**: Fm-3m
**Energy of formation**: 0.041 eV per atom
**Total moment**: 0.00 μB/f.u.

a = 5.4118 Å, b = 5.4118 Å, c = 5.4118 Å
α = 60.00°, β = 60.00°, γ = 60.00°
Closest atoms and distances in Å follow each position.
Element x y z (fractional)
Sm1 0.7500 0.7500 0.7500  4 Ag 3.31, 4 Lu 3.31
Sm2 0.2500 0.2500 0.2500  4 Ag 3.31, 4 Lu 3.31
Lu1 0.0000 0.0000 0.0000  8 Sm 3.31
Ag1 0.5000 0.5000 0.5000  8 Sm 3.31

=====

[4]
Density functional theory data (PBE) for a relaxed SmLuAg crystal.

**Symmetry**: I4mm
**Energy of formation**: -0.173 eV per atom
**Total moment**: 0.38 μB/f.u.

a = 3.5741 Å, b = 3.5741 Å, c = 6.7960 Å
α = 105.25°, β = 105.25°, γ = 90.00°
Closest atoms and distances in Å follow each position.
Element x y z (fractional)
Ag1 0.6768 0.6768 0.3537  4 Lu 3.04, 4 Sm 3.27
Lu1 0.3110 0.3110 0.6220  4 Ag 3.04
Sm1 0.0122 0.0122 0.0243  4 Ag 3.27, 4 Sm 3.57, 4 Lu 3.58

=====

[5]
Density functional theory data (PBE) for a relaxed SmLuAg4 crystal.

**Symmetry**: F-43m
**Energy of formation**: -0.165 eV per atom
**Total moment**: 0.00 μB/f.u.

a = 5.7048 Å, b = 5.7048 Å, c = 5.7048 Å
α = 60.00°, β = 60.00°, γ = 60.00°
Closest atoms and distances in Å follow each position.
Element x y z (fractional)
Sm1 0.0000 0.0000 0.0000  12 Ag 3.35, 4 Lu 3.49
Ag1 0.6246 0.6246 0.1261  6 Ag 2.84-2.86
Ag2 0.6246 0.6246 0.6246  6 Ag 2.84-2.86
Ag3 0.6246 0.1261 0.6246  6 Ag 2.84-2.86
Ag4 0.1261 0.6246 0.6246  6 Ag 2.84-2.86
Lu1 0.2500 0.2500 0.2500  12 Ag 3.34, 4 Sm 3.49

=====

[6]
Density functional theory data (PBE) for a relaxed SmLuAgSn crystal.

**Symmetry**: F-43m
**Energy of formation**: -0.480 eV per atom
**Total moment**: 0.04 μB/f.u.

a = 5.2379 Å, b = 5.2379 Å, c = 5.2379 Å
α = 60.00°, β = 60.00°, γ = 60.00°
Closest atoms and distances in Å follow each position.
Element x y z (fractional)
Sm1 0.5000 0.5000 0.5000  4 Ag 3.21, 4 Sn 3.21
Sn1 0.2500 0.2500 0.2500  4 Sm 3.21, 4 Lu 3.21
Ag1 0.7500 0.7500 0.7500  4 Lu 3.21, 4 Sm 3.21
Lu1 0.0000 0.0000 0.0000  4 Sn 3.21, 4 Ag 3.21

=====

[7]
Density functional theory data (PBE) for a relaxed TbSmLuAg crystal.

**Symmetry**: F-43m
**Energy of formation**: 0.040 eV per atom
**Total moment**: 0.00 μB/f.u.

a = 5.3821 Å, b = 5.3821 Å, c = 5.3821 Å
α = 60.00°, β = 60.00°, γ = 60.00°
Closest atoms and distances in Å follow each position.
Element x y z (fractional)
Lu1 0.2500 0.2500 0.2500  4 Tb 3.30, 4 Sm 3.30
Tb1 0.0000 0.0000 0.0000  4 Lu 3.30, 4 Ag 3.30
Sm1 0.5000 0.5000 0.5000  4 Lu 3.30, 4 Ag 3.30
Ag1 0.7500 0.7500 0.7500  4 Tb 3.30, 4 Sm 3.30

=====

[8]
Density functional theory data (PBE) for a relaxed SmTmLuAg crystal.

**Symmetry**: F-43m
**Energy of formation**: 0.045 eV per atom
**Total moment**: 0.00 μB/f.u.

a = 5.3524 Å, b = 5.3524 Å, c = 5.3524 Å
α = 60.00°, β = 60.00°, γ = 60.00°
Closest atoms and distances in Å follow each position.
Element x y z (fractional)
Ag1 0.2500 0.2500 0.2500  4 Sm 3.28, 4 Tm 3.28
Sm1 0.5000 0.5000 0.5000  4 Lu 3.28, 4 Ag 3.28
Tm1 0.0000 0.0000 0.0000  4 Lu 3.28, 4 Ag 3.28
Lu1 0.7500 0.7500 0.7500  4 Sm 3.28, 4 Tm 3.28